(a)
Below is a relaxed structure of LiB4Au, with properties calculated at the PBE-GGA level.

Output
V: 9.69 A^3/atom

a b c (Å): 4.7850 4.7850 4.7850
angles (deg): 143.57 113.83 77.96
With the nearest neighbours (Å) after each atom.
Fractional positions:
Li 0.0000 0.0000 0.0000  12 B 2.48-2.62
B 0.5971 0.2613 0.3357  3 B 1.72-1.75
B 0.9256 0.2613 0.6643  3 B 1.72-1.75
Au 0.5000 0.5000 0.0000  12 B 2.50-2.60
B 0.0744 0.7387 0.3357  3 B 1.72-1.75
B 0.4029 0.7387 0.6643  3 B 1.72-1.75



(b)
Below is a relaxed structure of LiB4Au, with properties calculated at the PBE-GGA level.

Output
V: 9.64 A^3/atom

a b c (Å): 3.0261 3.0261 7.2954
angles (deg): 90.00 90.00 120.00
With the nearest neighbours (Å) after each atom.
Fractional positions:
B 0.6667 0.3333 0.7702  3 B 1.75
B 0.3333 0.6667 0.7702  3 B 1.75
B 0.6667 0.3333 0.2298  3 B 1.75
Li 0.0000 0.0000 0.0000  12 B 2.42
Au 0.0000 0.0000 0.5000  12 B 2.63
B 0.3333 0.6667 0.2298  3 B 1.75



The calculated energies rank the structures as follows, beginning with the most stable: (a), (b).



(a)
Below is a relaxed structure of LiLuBAu, with properties calculated at the PBE-GGA level.

Output
V: 15.21 A^3/atom

a b c (Å): 4.4148 4.4148 4.4148
angles (deg): 60.00 60.00 60.00
With the nearest neighbours (Å) after each atom.
Fractional positions:
Li 0.2500 0.2500 0.2500  4 Lu 2.70, 4 B 2.70
Lu 0.0000 0.0000 0.0000  4 Li 2.70, 4 Au 2.70
B 0.5000 0.5000 0.5000  4 Au 2.70, 4 Li 2.70
Au 0.7500 0.7500 0.7500  4 B 2.70, 4 Lu 2.70



(b)
Below is a relaxed structure of LiLuBAu, with properties calculated at the PBE-GGA level.

Output
V: 14.21 A^3/atom

a b c (Å): 4.3158 4.3158 4.3158
angles (deg): 60.00 60.00 60.00
With the nearest neighbours (Å) after each atom.
Fractional positions:
Lu 0.2500 0.2500 0.2500  4 B 2.64, 4 Li 2.64
B 0.0000 0.0000 0.0000  4 Lu 2.64, 4 Au 2.64
Au 0.7500 0.7500 0.7500  4 Li 2.64, 4 B 2.64
Li 0.5000 0.5000 0.5000  4 Au 2.64, 4 Lu 2.64



The calculated energies rank the structures as follows, beginning with the most stable: (b), (a).



(a)
Below is a relaxed structure of LiTlBAu, with properties calculated at the PBE-GGA level.

Output
V: 15.83 A^3/atom

a b c (Å): 4.4740 4.4740 4.4740
angles (deg): 60.00 60.00 60.00
With the nearest neighbours (Å) after each atom.
Fractional positions:
Tl 0.2500 0.2500 0.2500  4 Li 2.74, 4 B 2.74
B 0.0000 0.0000 0.0000  4 Au 2.74, 4 Tl 2.74
Li 0.5000 0.5000 0.5000  4 Tl 2.74, 4 Au 2.74
Au 0.7500 0.7500 0.7500  4 B 2.74, 4 Li 2.74



(b)
Below is a relaxed structure of LiTlBAu, with properties calculated at the PBE-GGA level.

Output
V: 16.80 A^3/atom

a b c (Å): 4.5632 4.5632 4.5632
angles (deg): 60.00 60.00 60.00
With the nearest neighbours (Å) after each atom.
Fractional positions:
Au 0.7500 0.7500 0.7500  4 Tl 2.79, 4 B 2.79
Tl 0.0000 0.0000 0.0000  4 Au 2.79, 4 Li 2.79
Li 0.2500 0.2500 0.2500  4 Tl 2.79, 4 B 2.79
B 0.5000 0.5000 0.5000  4 Au 2.79, 4 Li 2.79



The calculated energies rank the structures as follows, beginning with the most stable: (a), (b).